[1]
DFT (SCAN) results for TaIn3Ir at its PBEsol-relaxed geometry.

```
data_TaIn3Ir
_cell_length_a 5.167
_cell_length_b 5.167
_cell_length_c 5.167
_cell_angle_alpha 90.00
_cell_angle_beta 90.00
_cell_angle_gamma 90.00
_symmetry_space_group_name_H-M 'P m -3 m'
_symmetry_Int_Tables_number 221
_symmetry_space_group_name_Hall '-P 4 2 3'
loop_
_atom_site_label
_atom_site_type_symbol
_atom_site_fract_x
_atom_site_fract_y
_atom_site_fract_z
Ta1 Ta 0.000 0.000 0.000
In1 In 0.000 0.000 0.500
Ir1 Ir 0.500 0.500 0.500
```

Summary:
formation enthalpy at 0 K	8.2	eV per formula unit
total magnetization	0.3768	μB per atom

=====

[2]
DFT (SCAN) results for TaInIr2 at its PBEsol-relaxed geometry.

```
data_TaInIr2
_cell_length_a 3.510
_cell_length_b 3.510
_cell_length_c 5.474
_cell_angle_alpha 90.00
_cell_angle_beta 90.00
_cell_angle_gamma 90.00
_symmetry_space_group_name_H-M 'P 4 m m'
_symmetry_Int_Tables_number 99
loop_
_symmetry_equiv_pos_as_xyz
'x,y,z'
'-y,x,z'
'-x,-y,z'
'y,-x,z'
'-x,y,z'
'y,x,z'
'x,-y,z'
'-y,-x,z'
loop_
_atom_site_label
_atom_site_type_symbol
_atom_site_fract_x
_atom_site_fract_y
_atom_site_fract_z
Ta1 Ta 0.000 0.000 0.000
In1 In 0.500 0.500 0.325
Ir1 Ir 0.000 0.000 0.524
Ir2 Ir 0.500 0.500 0.827
```

Summary:
formation enthalpy at 0 K	-0.5	eV per formula unit
total magnetization	0.0000	μB per atom

=====

[3]
DFT (SCAN) results for TbInIr at its PBEsol-relaxed geometry.

```
data_TbInIr
_cell_length_a 7.4006
_cell_length_b 7.4006
_cell_length_c 3.9248
_cell_angle_alpha 90.00
_cell_angle_beta 90.00
_cell_angle_gamma 120.00
_symmetry_space_group_name_H-M 'P -6 2 m'
_symmetry_Int_Tables_number 189
_symmetry_space_group_name_Hall 'P -6 -2'
loop_
_atom_site_label
_atom_site_type_symbol
_atom_site_fract_x
_atom_site_fract_y
_atom_site_fract_z
Tb1 Tb 0.0000 0.4068 0.0000
In1 In 0.0000 0.7439 0.5000
Ir1 Ir 0.0000 0.0000 0.0000
Ir2 Ir 0.3333 0.6667 0.5000
```

Summary:
formation enthalpy at 0 K	-2.6	eV per formula unit
total magnetization	0.0000	μB per atom

=====

[4]
DFT (SCAN) results for InTc2Ir at its PBEsol-relaxed geometry.

```
data_InTc2Ir
_cell_length_a 2.820
_cell_length_b 4.425
_cell_length_c 4.911
_cell_angle_alpha 90.00
_cell_angle_beta 90.00
_cell_angle_gamma 90.00
_symmetry_space_group_name_H-M 'P m m 2'
_symmetry_Int_Tables_number 25
loop_
_symmetry_equiv_pos_as_xyz
'x,y,z'
'-x,-y,z'
'-x,y,z'
'x,-y,z'
loop_
_atom_site_label
_atom_site_type_symbol
_atom_site_fract_x
_atom_site_fract_y
_atom_site_fract_z
In1 In 0.000 0.000 0.000
Tc1 Tc 0.500 0.000 0.490
Tc2 Tc 0.500 0.500 0.230
Ir1 Ir 0.000 0.500 0.689
```

Summary:
formation enthalpy at 0 K	0.5	eV per formula unit
total magnetization	0.0000	μB per atom

=====

[5]
DFT (SCAN) results for InTc2Ir at its PBEsol-relaxed geometry.

```
data_InTc2Ir
_cell_length_a 9.097
_cell_length_b 2.797
_cell_length_c 4.898
_cell_angle_alpha 90.00
_cell_angle_beta 100.14
_cell_angle_gamma 90.00
_symmetry_space_group_name_H-M 'C 1 m 1'
_symmetry_Int_Tables_number 8
loop_
_symmetry_equiv_pos_as_xyz
'x,y,z'
'x,-y,z'
'x+1/2,y+1/2,z'
'x+1/2,-y+1/2,z'
loop_
_atom_site_label
_atom_site_type_symbol
_atom_site_fract_x
_atom_site_fract_y
_atom_site_fract_z
In1 In 0.000 0.000 0.000
Tc1 Tc 0.010 0.500 0.491
Tc2 Tc 0.262 0.500 0.308
Ir1 Ir 0.244 0.000 0.766
```

Summary:
formation enthalpy at 0 K	0.5	eV per formula unit
total magnetization	0.0000	μB per atom

=====

[6]
DFT (SCAN) results for InTe2Ir at its PBEsol-relaxed geometry.

```
data_InTe2Ir
_cell_length_a 4.0399
_cell_length_b 4.0399
_cell_length_c 21.1235
_cell_angle_alpha 90.00
_cell_angle_beta 90.00
_cell_angle_gamma 120.00
_symmetry_space_group_name_H-M 'R -3 m'
_symmetry_Int_Tables_number 166
_symmetry_space_group_name_Hall '-R 3 2"'
loop_
_atom_site_label
_atom_site_type_symbol
_atom_site_fract_x
_atom_site_fract_y
_atom_site_fract_z
In1 In 0.0000 0.0000 0.0000
Te1 Te 0.0000 0.0000 0.2289
Ir1 Ir 0.0000 0.0000 0.5000
```

Summary:
uncorrected formation energy	-0.209	eV/atom
total magnetization	0.0000	μB per atom

=====

[7]
DFT (SCAN) results for InTe2Ir at its PBEsol-relaxed geometry.

```
data_InTe2Ir
_cell_length_a 3.223
_cell_length_b 3.223
_cell_length_c 8.990
_cell_angle_alpha 90.00
_cell_angle_beta 90.00
_cell_angle_gamma 90.00
_symmetry_space_group_name_H-M 'P 4 m m'
_symmetry_Int_Tables_number 99
loop_
_symmetry_equiv_pos_as_xyz
'x,y,z'
'-y,x,z'
'-x,-y,z'
'y,-x,z'
'-x,y,z'
'y,x,z'
'x,-y,z'
'-y,-x,z'
loop_
_atom_site_label
_atom_site_type_symbol
_atom_site_fract_x
_atom_site_fract_y
_atom_site_fract_z
In1 In 0.000 0.000 0.000
Te1 Te 0.000 0.000 0.378
Te2 Te 0.500 0.500 0.717
Ir1 Ir 0.500 0.500 0.218
```

Summary:
uncorrected formation energy	0.197	eV/atom
total magnetization	0.0000	μB per atom

=====

[8]
DFT (SCAN) results for InTeIr2 at its PBEsol-relaxed geometry.

```
data_InTeIr2
_cell_length_a 3.024
_cell_length_b 3.024
_cell_length_c 8.234
_cell_angle_alpha 90.00
_cell_angle_beta 90.00
_cell_angle_gamma 90.00
_symmetry_space_group_name_H-M 'P 4 m m'
_symmetry_Int_Tables_number 99
loop_
_symmetry_equiv_pos_as_xyz
'x,y,z'
'-y,x,z'
'-x,-y,z'
'y,-x,z'
'-x,y,z'
'y,x,z'
'x,-y,z'
'-y,-x,z'
loop_
_atom_site_label
_atom_site_type_symbol
_atom_site_fract_x
_atom_site_fract_y
_atom_site_fract_z
In1 In 0.000 0.000 0.000
Te1 Te 0.500 0.500 0.643
Ir1 Ir 0.000 0.000 0.437
Ir2 Ir 0.500 0.500 0.218
```

Summary:
uncorrected formation energy	0.354	eV/atom
total magnetization	0.0000	μB per atom
E above lowest polymorph	39	meV/atom